Computed, not measured: a geometry-optimized As2PdRh2 structure at the GGA-PBE level of DFT.

a = 3.885 Å, b = 3.885 Å, c = 11.261 Å
α = 90.00°, β = 90.00°, γ = 90.00°
Space group I4/mmm (No. 139)
One atom of each set of equivalent atoms:
As  0.000  0.500  0.250 [4 per cell]
Pd  0.000  0.000  0.000 [2 per cell]
Rh  0.000  0.000  0.384 [4 per cell]

Output
V	85	Å³/f.u.
DFT formation energy	-27.9	meV/atom